Material: Nb2O2F3
Method: DFT, PBE-GGA
State: relaxed

The value obtained for the size of the total moment is 4.01 μB/cell. The calculation puts the total energy at -7.762 eV/atom. As for the crystal system: monoclinic.

The space group is C2/c (No. 15) and the conventional cell measures 12.939, 5.131 and 5.699 Å, with angles of 90.00, 110.74 and 90.00 degrees. The inequivalent atoms are Nb at (0.157, 0.245, 0.312), O at (0.201, 0.044, 0.643), F at (0.000, 0.086, 0.250) and F at (0.097, 0.440, 0.957).